A plane-wave DFT calculation with PBE-GGA was carried out for a relaxed ZrBiB crystal.

Unit cell a=4.4023 b=4.4023 c=4.4023 alpha=60.00 beta=60.00 gamma=60.00
Atoms (fractional coordinates):
B 0.0000 0.0000 0.0000
Bi 0.2500 0.2500 0.2500
Zr 0.7500 0.7500 0.7500

The calculation puts the relative energy among the computed polymorphs at 0 meV per atom. For the total energy, the calculation gives -5.779 eV per atom. Its space group is F-43m (216). As for the total magnetization: 0.01 μB per cell.